# Pr3Er7Sc

Pr3Er7Sc after structural relaxation (PBE-GGA, Alexandria via LeMat-Bulk).

For the formation energy, the calculation gives 17.2 kJ per mole of atoms. The total DFT energy (no corrections) is -4.6050 eV/atom. The calculated volume comes out at 365.5 Å³/cell. The crystal system is trigonal.

The structure belongs to space group P3m1 (No. 156); the cell edges are 6.9993, 6.9993 and 8.6142 Å and the angles 90.00°, 90.00° and 120.00°. The asymmetric unit holds Pr at (0.1675, 0.3349, 0.0000), Er at (0.0000, 0.0000, 0.3417), Er at (0.0030, 0.5015, 0.3444), Er at (0.3316, 0.1658, 0.6636) and Sc at (0.3333, 0.6667, 0.6611).